Material: AlH2S
Method: DFT, PBE
State: relaxed

Structure (extended XYZ):
```
8
Lattice="-1.490 1.576 2.953 -5.030 -4.638 -2.336 1.896 -3.472 2.810" Properties=species:S:1:pos:R:3 pbc="T T T"
Al -0.797 -2.799 3.364
Al -3.827 -3.735 0.062
H -2.714 -4.382 0.969
H -1.910 -2.152 2.457
H -1.930 -5.817 2.131
H -2.694 -0.717 1.295
S -5.849 -3.799 1.348
S 1.225 -2.735 2.078
```

Values from the calculation:
Total moment = 0.0 μB/f.u.
Crystal system = orthorhombic
Space-group type = Cmcm (63)
Density = 1.6 g/cm³
Calculated volume = 124 Å³ per cell
Polymorph energy (0 for the lowest one) = 0 meV/atom

Material: AlZn2Cu
Method: DFT, PBE
State: relaxed

Structure (extended XYZ):
```
4
Lattice="-1.739 4.207 -0.983 -3.405 -3.065 0.841 0.074 0.676 2.763" Properties=species:S:1:pos:R:3 pbc="T T T"
Zn 0.000 0.000 0.000
Zn -2.572 0.571 -0.071
Al -0.833 2.442 0.890
Cu -1.666 -1.194 1.802
```

Values from the calculation:
Total moment = 0.0 μB/f.u.
Crystal system = orthorhombic
Space-group type = Cmmm (65)
Density = 6.4 g/cm³
Calculated volume = 58 Å³ per cell
E = -2.611 eV/atom

Material: YBSbI2
Method: DFT, PBE
State: relaxed

Structure (extended XYZ):
```
5
Lattice="-5.589 0.421 1.878 -0.294 -5.887 0.445 1.973 0.340 5.793" Properties=species:S:1:pos:R:3 pbc="T T T"
I -0.147 -2.944 0.223
I -2.795 0.211 0.939
Sb 0.986 0.170 2.897
B -1.955 -2.563 4.059
Y 0.000 0.000 0.000
```

Values from the calculation:
Total moment = 0.7 μB/f.u.
Crystal system = tetragonal
Space-group type = P4/mmm (123)
Density = 3.7 g/cm³
Calculated volume = 214 Å³ per cell
Polymorph energy (0 for the lowest one) = 319 meV/atom

Look up the calculated volume of the second one.
58 Å³ per cell